Tb2ZnGe3 | Alexandria via LeMat-Bulk | PBE | relaxed; energy of formation = -0.578 eV/atom; space-group type = No. 69; VASP energy = -4.643 eV/atom; energy relative to the lowest polymorph listed for this composition = 0.04 eV/f.u.
1.0
5.577 0.749 -1.517
-1.503 5.423 -1.517
-0.500 -0.758 8.320
Ge Tb Zn
6 4 2
Cartesian
-0.438 3.068 5.654 Ge
4.013 2.346 -0.368 Ge
3.052 4.622 2.971 Ge
0.581 4.612 -0.368 Ge
2.994 0.803 5.654 Ge
0.523 0.792 2.315 Ge
3.085 4.673 -2.297 Tb
0.017 3.876 2.643 Tb
0.990 1.499 -0.737 Tb
3.557 1.539 2.643 Tb
2.549 3.860 0.745 Zn
1.026 1.554 4.541 Zn